(1)
An optimized crystal structure of TaCrAs2Se, computed with PBE-GGA.

- calculated total energy (eV per atom) = -6.0637
- E above lowest polymorph (eV per atom) = 0.000
- energy relative to the elements, uncorrected (eV per formula unit) = 3.9

a b c (Å): 4.613 4.613 4.798
angles (deg): 90.00 90.00 90.00
Positions (direct):
Ta  0.000  0.000  0.000
Cr  0.500  0.500  0.500
As  0.000  0.500  0.500
As  0.500  0.000  0.500
Se  0.500  0.500  0.000



(2)
An optimized crystal structure of TaCrAsSe2, computed with PBE-GGA.

- calculated total energy (eV per atom) = -5.9113
- E above lowest polymorph (eV per atom) = 0.000
- energy relative to the elements, uncorrected (eV per formula unit) = 3.5

a b c (Å): 4.722 4.722 4.686
angles (deg): 90.00 90.00 90.00
Positions (direct):
Ta  0.000  0.000  0.000
Cr  0.500  0.500  0.500
As  0.500  0.500  0.000
Se  0.000  0.500  0.500
Se  0.500  0.000  0.500



(3)
An optimized crystal structure of TaCr2AsSe, computed with PBE-GGA.

- calculated total energy (eV per atom) = -6.6437
- energy relative to the elements, uncorrected (eV per formula unit) = 6.0

a b c (Å): 4.484 4.484 5.174
angles (deg): 90.00 90.00 90.00
Positions (direct):
Ta  0.000  0.000  0.000
Cr  0.000  0.500  0.500
Cr  0.500  0.000  0.500
As  0.500  0.500  0.500
Se  0.500  0.500  0.000



(4)
An optimized crystal structure of TaCrAs2Se, computed with PBE-GGA.

- calculated total energy (eV per atom) = -5.8546
- E above lowest polymorph (eV per atom) = 0.209
- energy relative to the elements, uncorrected (eV per formula unit) = 5.0

a b c (Å): 5.000 5.000 4.928
angles (deg): 90.00 90.00 90.00
Positions (direct):
Ta  0.000  0.000  0.000
Cr  0.500  0.500  0.500
As  0.000  0.500  0.000
As  0.500  0.000  0.000
Se  0.000  0.000  0.500



(5)
An optimized crystal structure of TaCrAsSe2, computed with PBE-GGA.

- calculated total energy (eV per atom) = -5.7273
- E above lowest polymorph (eV per atom) = 0.184
- energy relative to the elements, uncorrected (eV per formula unit) = 4.5

a b c (Å): 4.975 4.975 5.031
angles (deg): 90.00 90.00 90.00
Positions (direct):
Ta  0.000  0.000  0.000
Cr  0.500  0.500  0.500
As  0.000  0.000  0.500
Se  0.000  0.500  0.000
Se  0.500  0.000  0.000



(6)
An optimized crystal structure of CrTcAsSe2, computed with PBE-GGA.

- calculated total energy (eV per atom) = -5.5030
- E above lowest polymorph (eV per atom) = 0.000
- energy relative to the elements, uncorrected (eV per formula unit) = 4.1

a b c (Å): 4.826 4.826 4.679
angles (deg): 90.00 90.00 90.00
Positions (direct):
Cr  0.000  0.000  0.000
Tc  0.500  0.500  0.500
As  0.000  0.000  0.500
Se  0.000  0.500  0.000
Se  0.500  0.000  0.000



(7)
An optimized crystal structure of CrTcAs2Se, computed with PBE-GGA.

- calculated total energy (eV per atom) = -5.6874
- E above lowest polymorph (eV per atom) = 0.000
- energy relative to the elements, uncorrected (eV per formula unit) = 4.3

a b c (Å): 4.603 4.603 4.919
angles (deg): 90.00 90.00 90.00
Positions (direct):
Cr  0.000  0.000  0.000
Tc  0.500  0.500  0.500
As  0.000  0.500  0.000
As  0.500  0.000  0.000
Se  0.000  0.000  0.500



(8)
An optimized crystal structure of CrTeAs2Se, computed with PBE-GGA.

- calculated total energy (eV per atom) = -4.8126
- E above lowest polymorph (eV per atom) = 0.000
- energy relative to the elements, uncorrected (eV per formula unit) = 1.5

a b c (Å): 4.842 4.842 4.538
angles (deg): 90.00 90.00 90.00
Positions (direct):
Cr  0.000  0.000  0.000
Te  0.500  0.500  0.500
As  0.000  0.500  0.000
As  0.500  0.000  0.000
Se  0.000  0.000  0.500



(9)
An optimized crystal structure of CrTeAsSe2, computed with PBE-GGA.

- calculated total energy (eV per atom) = -4.5929
- E above lowest polymorph (eV per atom) = 0.000
- energy relative to the elements, uncorrected (eV per formula unit) = 1.4

a b c (Å): 4.629 4.629 5.057
angles (deg): 90.00 90.00 90.00
Positions (direct):
Cr  0.000  0.000  0.000
Te  0.500  0.500  0.500
As  0.000  0.000  0.500
Se  0.000  0.500  0.000
Se  0.500  0.000  0.000



(10)
An optimized crystal structure of TiCrAs2Se, computed with PBE-GGA.

- calculated total energy (eV per atom) = -5.7120
- E above lowest polymorph (eV per atom) = 0.000
- energy relative to the elements, uncorrected (eV per formula unit) = 1.7

a b c (Å): 4.589 4.589 5.024
angles (deg): 90.00 90.00 90.00
Positions (direct):
Ti  0.000  0.000  0.000
Cr  0.500  0.500  0.500
As  0.000  0.500  0.500
As  0.500  0.000  0.500
Se  0.500  0.500  0.000



(11)
An optimized crystal structure of TiCrAs2Se, computed with PBE-GGA.

- calculated total energy (eV per atom) = -5.3261
- E above lowest polymorph (eV per atom) = 0.386
- energy relative to the elements, uncorrected (eV per formula unit) = 3.7

a b c (Å): 4.869 4.869 4.811
angles (deg): 90.00 90.00 90.00
Positions (direct):
Ti  0.000  0.000  0.000
Cr  0.500  0.500  0.500
As  0.000  0.500  0.000
As  0.500  0.000  0.000
Se  0.000  0.000  0.500



(12)
An optimized crystal structure of Tl2CrAsSe4, computed with PBE-GGA.

- calculated total energy (eV per atom) = -4.4147
- energy relative to the elements, uncorrected (eV per formula unit) = -2.4

a b c (Å): 8.231 8.231 8.231
angles (deg): 121.40 118.45 90.15
Positions (direct):
Tl  0.000  0.000  0.000
Tl  0.500  0.000  0.000
Tl  0.500  0.000  0.500
Tl  0.500  0.500  0.500
Cr  0.000  0.000  0.500
Cr  0.000  0.500  0.000
As  0.000  0.500  0.500
As  0.500  0.500  0.000
Se  0.189  0.737  0.452
Se  0.215  0.263  0.952
Se  0.225  0.252  0.527
Se  0.225  0.699  0.973
Se  0.775  0.301  0.027
Se  0.775  0.748  0.473
Se  0.785  0.737  0.048
Se  0.811  0.263  0.548



Copy entry 4 word for word.
An optimized crystal structure of TaCrAs2Se, computed with PBE-GGA.

- calculated total energy (eV per atom) = -5.8546
- E above lowest polymorph (eV per atom) = 0.209
- energy relative to the elements, uncorrected (eV per formula unit) = 5.0

a b c (Å): 5.000 5.000 4.928
angles (deg): 90.00 90.00 90.00
Positions (direct):
Ta  0.000  0.000  0.000
Cr  0.500  0.500  0.500
As  0.000  0.500  0.000
As  0.500  0.000  0.000
Se  0.000  0.000  0.500



Copy entry 7 word for word.
An optimized crystal structure of CrTcAs2Se, computed with PBE-GGA.

- calculated total energy (eV per atom) = -5.6874
- E above lowest polymorph (eV per atom) = 0.000
- energy relative to the elements, uncorrected (eV per formula unit) = 4.3

a b c (Å): 4.603 4.603 4.919
angles (deg): 90.00 90.00 90.00
Positions (direct):
Cr  0.000  0.000  0.000
Tc  0.500  0.500  0.500
As  0.000  0.500  0.000
As  0.500  0.000  0.000
Se  0.000  0.000  0.500



What did the twelfth record say?
An optimized crystal structure of Tl2CrAsSe4, computed with PBE-GGA.

- calculated total energy (eV per atom) = -4.4147
- energy relative to the elements, uncorrected (eV per formula unit) = -2.4

a b c (Å): 8.231 8.231 8.231
angles (deg): 121.40 118.45 90.15
Positions (direct):
Tl  0.000  0.000  0.000
Tl  0.500  0.000  0.000
Tl  0.500  0.000  0.500
Tl  0.500  0.500  0.500
Cr  0.000  0.000  0.500
Cr  0.000  0.500  0.000
As  0.000  0.500  0.500
As  0.500  0.500  0.000
Se  0.189  0.737  0.452
Se  0.215  0.263  0.952
Se  0.225  0.252  0.527
Se  0.225  0.699  0.973
Se  0.775  0.301  0.027
Se  0.775  0.748  0.473
Se  0.785  0.737  0.048
Se  0.811  0.263  0.548